DFT (GGA-PBE) results for a relaxed NaCa2Zn2 crystal.

Results
Its size of the total moment is 0.00 μB per formula unit. Its calculated formation energy is 0.02 eV per atom. The excess energy over the best structure of this formula in the dataset is 177 meV per atom. The calculation puts the raw total energy at -1.555 eV per atom.

Cell lengths 3.842, 3.842, 20.934 Å; angles 90.00, 90.00, 90.00 degrees
Space group I4/mmm (No. 139)
One atom of each set of equivalent atoms:
Na 0.000 0.000 0.000 (multiplicity 2)
Ca 0.000 0.000 0.369 (multiplicity 4)
Zn 0.000 0.500 0.250 (multiplicity 4)